Entry 1:
LaZrPb3: optimized geometry, GGA-PBE.

ΔE_f, meV/atom: 1067
Total energy, eV for the cell shown: -19.26
N(E_F), states/eV per cell: 11.754
Distance to the lowest polymorph of the same formula, meV/atom: 1013

Unit cell a=5.8959 b=5.8959 c=5.8959 alpha=90.00 beta=90.00 gamma=90.00
Space group Pm-3m (No. 221)
Symmetry-distinct sites (fractional):
La  0.0000  0.0000  0.0000
Zr  0.5000  0.5000  0.5000
Pb  0.0000  0.0000  0.5000

---

Entry 2:
Cd2In2Pd: optimized geometry, GGA-PBE.

ΔE_f, meV/atom: 116
Total energy, eV for the cell shown: -23.84
N(E_F), states/eV per cell: 4.392
Distance to the lowest polymorph of the same formula, meV/atom: 283

Unit cell a=3.8293 b=3.8293 c=16.5429 alpha=90.00 beta=90.00 gamma=90.00
Space group I4/mmm (No. 139)
Symmetry-distinct sites (fractional):
Cd  0.0000  0.5000  0.2500
In  0.0000  0.0000  0.0877
Pd  0.0000  0.0000  0.5000